No. 1
Computed, not measured: crystalline LiPPb2 at its relaxed geometry at the GGA-PBEsol level of DFT.

Computed properties:
Magnetization in μB per formula unit: 0.0
N(E_F) in states/eV/cell: 1.46
Electronic total energy in eV/atom: -3.978
Space group: Imm2 (44)

abc: 3.7473 4.9947 5.8962
angles: 115.06 108.53 90.00
Positions (direct):
P1 0.7619 0.2619 0.5238
Li1 0.4410 0.4410 0.8820
Pb1 0.2512 0.7512 0.5024
Pb2 0.0459 0.0459 0.0919



No. 2
Computed, not measured: crystalline Cd3Ag at its relaxed geometry at the GGA-PBEsol level of DFT.

Computed properties:
Magnetization in μB per formula unit: 0.0
N(E_F) in states/eV/cell: 1.05
Electronic total energy in eV/atom: -1.741
Space group: Cmmm (65)

abc: 3.0709 5.1050 5.1050
angles: 107.22 90.00 90.00
Positions (direct):
Cd1 0.5000 0.5000 0.0000
Cd2 0.0000 0.5000 0.5000
Cd3 0.5000 0.0000 0.5000
Ag1 0.0000 0.0000 0.0000



No. 3
Computed, not measured: crystalline BaSr2Ca at its relaxed geometry at the GGA-PBEsol level of DFT.

Computed properties:
Magnetization in μB per formula unit: 0.0
ΔE to the lowest computed polymorph in meV per atom: 9
N(E_F) in states/eV/cell: 4.99
Electronic total energy in eV/atom: -1.967
Space group: I-4m2 (119)

abc: 5.9475 5.9475 7.1353
angles: 114.63 114.63 90.00
Positions (direct):
Ba1 0.5000 0.5000 0.0000
Sr1 0.7500 0.2500 0.5000
Sr2 0.0000 0.0000 0.0000
Ca1 0.2500 0.7500 0.5000